# 1
First-principles (PBE) data for a relaxed Ca2YCu2 crystal, as listed in Alexandria via LeMat-Bulk.

Lattice parameters (Å, degrees): 4.483 4.483 12.746 90.00 90.00 90.00
Space group I4/mmm (No. 139)
Asymmetric unit:
1 Ca 0.000 0.500 0.250 x4
2 Y 0.000 0.000 0.000 x2
3 Cu 0.000 0.000 0.407 x4

The density of states at the Fermi level comes out at 1.57 states/eV/atom. The value obtained for the energy above the most stable polymorph in this dataset is 207.7 meV per atom. Its formation energy is 0.112 eV/atom. The total energy comes out at -3.62 eV/atom. For the spin magnetization, the calculation gives 0.0 Bohr magnetons per cell.

=====

# 2
First-principles (PBE) data for a relaxed CaY2Cu crystal, as listed in Alexandria via LeMat-Bulk.

Lattice parameters (Å, degrees): 4.564 4.564 10.563 90.00 90.00 90.00
Space group I-4m2 (No. 119)
Asymmetric unit:
1 Ca 0.000 0.000 0.000 x2
2 Y 0.000 0.000 0.500 x2
3 Y 0.000 0.500 0.250 x2
4 Cu 0.000 0.500 0.750 x2

The density of states at the Fermi level comes out at 1.41 states/eV/atom. The value obtained for the energy above the most stable polymorph in this dataset is 298.0 meV per atom. Its formation energy is 0.245 eV/atom. The total energy comes out at -4.51 eV/atom. For the spin magnetization, the calculation gives 0.0 Bohr magnetons per cell.

=====

# 3
First-principles (PBE) data for a relaxed CaY2Cu crystal, as listed in Alexandria via LeMat-Bulk.

Lattice parameters (Å, degrees): 3.7253 3.7253 29.8883 90.00 90.00 120.00
Space group R3m (No. 160, hexagonal axes)
Asymmetric unit:
1 Ca 0.0000 0.0000 0.0000 x3
2 Y 0.0000 0.0000 0.2267 x3
3 Y 0.0000 0.0000 0.4641 x3
4 Cu 0.0000 0.0000 0.7345 x3

The density of states at the Fermi level comes out at 1.27 states/eV/atom. The value obtained for the energy above the most stable polymorph in this dataset is 131.2 meV per atom. Its formation energy is 0.079 eV/atom. The total energy comes out at -4.68 eV/atom. For the spin magnetization, the calculation gives 1.6 Bohr magnetons per cell.